A geometry-optimized AcTeAuSe structure. Source: the Alexandria database, functional PBE-GGA.

Cell lengths 4.8373, 4.8373, 38.9213 Å; angles 90.00, 90.00, 120.00 degrees
Space group R-3m (No. 166, hexagonal axes)
One atom of each set of equivalent atoms:
Ac 0.0000 0.0000 0.1102 [6 per cell]
Te 0.0000 0.0000 0.3814 [6 per cell]
Au 0.0000 0.0000 0.2782 [6 per cell]
Se 0.0000 0.0000 0.1944 [6 per cell]

Output
calculated volume = 32.9 Å³/atom
formation energy (no corrections) = -1.1481 eV/atom
size of the total moment = 0.00 Bohr magnetons per cell